This record from the Alexandria database describes a relaxed structure of Li3FeSb4O12. The functional is GGA+U.

Lattice parameters (Å, degrees): 5.2739 5.5839 7.6996 85.82 89.79 89.78
Space group P1 (No. 1)
Unique sites:
Li 0.0000 0.0000 0.0000 [1 per cell]
Li 0.0043 0.0009 0.4945 [1 per cell]
Li 0.5011 0.5133 0.9989 [1 per cell]
Fe 0.5047 0.5237 0.4961 [1 per cell]
Sb 0.0029 0.4286 0.7185 [1 per cell]
Sb 0.4998 0.9431 0.2057 [1 per cell]
Sb 0.5049 0.9379 0.7160 [1 per cell]
Sb 0.9974 0.4334 0.2068 [1 per cell]
O 0.1372 0.4097 0.9609 [1 per cell]
O 0.1716 0.1075 0.2628 [1 per cell]
O 0.2068 0.7230 0.6303 [1 per cell]
O 0.3034 0.2315 0.6295 [1 per cell]
O 0.3200 0.6095 0.2625 [1 per cell]
O 0.3670 0.9093 0.9595 [1 per cell]
O 0.6274 0.9038 0.4560 [1 per cell]
O 0.6730 0.5988 0.7612 [1 per cell]
O 0.6941 0.2400 0.1292 [1 per cell]
O 0.7999 0.7335 0.1302 [1 per cell]
O 0.8347 0.0991 0.7640 [1 per cell]
O 0.8688 0.4069 0.4593 [1 per cell]

total magnetic moment: 4.0 μB/cell
D(E_F): 0.054 states/eV/atom
total DFT energy (no corrections): -5.935 eV/atom